Sc2AlAgC | PBE | optimized geometry

Cell: 4.592 4.592 3.958 Å, 90.00 90.00 90.00°
Space group P4/mmm (No. 123)
One atom of each set of equivalent atoms:
Sc: 0.000 0.500 0.000 [2 per cell]
Al: 0.000 0.000 0.500 [1 per cell]
Ag: 0.500 0.500 0.500 [1 per cell]
C: 0.000 0.000 0.000 [1 per cell]

Summary:
* volume: 16.7 Å³ per atom
* formation energy from the elements: -171 kJ/mol of formula units